Li7I3O2 | PBEsol | optimized geometry

Values from the calculation:
Raw total energy (eV per atom): -3.97

Lattice parameters (Å, degrees): 4.0708 4.0708 23.3809 90.00 90.00 90.00
Last column: nearest neighbours and their distance in Å.
Space group I4/mmm (No. 139)
Unique sites:
Li (0.0000, 0.0000, 0.0000) [2 per cell]  2 O 2.02
Li (0.0000, 0.0000, 0.1663) [4 per cell]  1 O 1.86
Li (0.0000, 0.5000, 0.0890) [8 per cell]  2 O 2.04
I (0.0000, 0.0000, 0.3137) [4 per cell]  8 Li 2.92-3.05
I (0.0000, 0.0000, 0.5000) [2 per cell]  12 Li 2.88-2.91
O (0.0000, 0.0000, 0.0866) [4 per cell]  6 Li 1.86-2.04

LiReI2O | PBEsol | optimized geometry

Values from the calculation:
Raw total energy (eV per atom): -5.22

Lattice parameters (Å, degrees): 5.5630 5.5630 3.7567 90.00 90.00 90.00
Last column: nearest neighbours and their distance in Å.
Space group P4/mmm (No. 123)
Unique sites:
Li (0.0000, 0.0000, 0.0000) [1 per cell]  8 I 3.36, 2 Li 3.76
Re (0.5000, 0.5000, 0.5000) [1 per cell]  2 O 1.88
I (0.0000, 0.5000, 0.5000) [2 per cell]  2 Re 2.78
O (0.5000, 0.5000, 0.0000) [1 per cell]  2 Re 1.88

LiVI2O8 | PBEsol | optimized geometry

Values from the calculation:
Raw total energy (eV per atom): -5.93

Lattice parameters (Å, degrees): 9.7791 5.0979 13.4777 90.00 117.34 90.00
Last column: nearest neighbours and their distance in Å.
Space group P2_1/c (No. 14)
Unique sites:
Li (0.2374, 0.2369, 0.4354) [4 per cell]  6 O 2.01-2.15
V (0.2683, 0.7245, 0.0515) [4 per cell]  2 O 1.64-1.67
I (0.0757, 0.2005, 0.1700) [4 per cell]  3 O 1.82-1.89
I (0.4148, 0.7156, 0.3291) [4 per cell]  3 O 1.82-1.90
O (0.0745, 0.0670, 0.2947) [4 per cell]  1 I 1.82, 1 Li 2.03
O (0.1130, 0.5559, 0.4373) [4 per cell]  1 I 1.89, 1 V 1.94, 1 Li 2.04
O (0.1534, 0.0253, 0.5347) [4 per cell]  1 V 1.64
O (0.1970, 0.5682, 0.6615) [4 per cell]  1 I 1.85
O (0.2973, 0.0717, 0.8204) [4 per cell]  1 I 1.83
O (0.3592, 0.6209, 0.9801) [4 per cell]  1 V 1.67
O (0.3955, 0.0918, 0.0751) [4 per cell]  1 I 1.82, 1 Li 2.01
O (0.4301, 0.6317, 0.1969) [4 per cell]  1 I 1.90, 1 V 1.93

LiYI2O | PBEsol | optimized geometry

Values from the calculation:
Raw total energy (eV per atom): -5.09

Lattice parameters (Å, degrees): 6.1077 6.1077 4.1541 90.00 90.00 90.00
Last column: nearest neighbours and their distance in Å.
Space group P4/mmm (No. 123)
Unique sites:
Li (0.0000, 0.0000, 0.0000) [1 per cell]  8 I 3.69
Y (0.5000, 0.5000, 0.5000) [1 per cell]  2 O 2.08
I (0.0000, 0.5000, 0.5000) [2 per cell]  2 Y 3.05
O (0.5000, 0.5000, 0.0000) [1 per cell]  2 Y 2.08

LiOsPd2I | PBEsol | optimized geometry

Values from the calculation:
Raw total energy (eV per atom): -4.41

Lattice parameters (Å, degrees): 4.1689 4.1689 4.6158 90.00 90.00 90.00
Last column: nearest neighbours and their distance in Å.
Space group P4/mmm (No. 123)
Unique sites:
Li (0.0000, 0.0000, 0.0000) [1 per cell]  4 Pd 2.08, 2 I 2.31
Os (0.5000, 0.5000, 0.5000) [1 per cell]  4 I 2.95, 8 Pd 3.11
Pd (0.0000, 0.5000, 0.0000) [2 per cell]  2 Li 2.08
I (0.0000, 0.0000, 0.5000) [1 per cell]  2 Li 2.31

Rb2LiOsI | PBEsol | optimized geometry

Values from the calculation:
Raw total energy (eV per atom): -2.79

Lattice parameters (Å, degrees): 6.7270 6.7270 4.8939 90.00 90.00 90.00
Last column: nearest neighbours and their distance in Å.
Space group P4/mmm (No. 123)
Unique sites:
Rb (0.0000, 0.5000, 0.0000) [2 per cell]  2 Os 3.36
Li (0.0000, 0.0000, 0.5000) [1 per cell]  8 Rb 4.16
Os (0.5000, 0.5000, 0.0000) [1 per cell]  2 I 2.45
I (0.5000, 0.5000, 0.5000) [1 per cell]  2 Os 2.45